{"formula": "NdHo5Ru6", "functional": "PBE", "state": "optimized geometry", "formation_enthalpy_0k_ev_per_atom": -0.300, "volume_a3_per_cell": 236.64, "lattice_angstrom": [[4.6224, 0.0195, -1.3489], [-0.9359, 5.9924, -3.1205], [-0.0834, 0.4352, 8.3151]], "species": ["Ru", "Ru", "Ru", "Ru", "Ru", "Ru", "Nd", "Ho", "Ho", "Ho", "Ho", "Ho"], "frac_coords": [[0.8319, 0.5804, 0.6639], [0.8319, 0.0835, 0.6639], [0.5000, 0.7464, 0.0000], [0.5000, 0.2536, 0.0000], [0.1681, 0.9165, 0.3361], [0.1681, 0.4196, 0.3361], [0.0000, 0.0000, 0.0000], [0.6690, 0.1690, 0.3380], [0.3335, 0.3335, 0.6670], [0.0000, 0.5000, 0.0000], [0.6665, 0.6665, 0.3330], [0.3310, 0.8310, 0.6620]]}